! GGA-PBEsol BeGaSi2W, relaxed; values from VASP
! Density of states at the Fermi level (states/eV per cell): 4.14
! Total DFT energy (no corrections) (eV/atom): -5.49
! SG: P4/mmm, No. 123
! Calculated volume (Å³/atom): 21.55
! Formation energy (no corrections) (meV per atom): 1036
&SYSTEM
  ibrav = 0, nat = 5, ntyp = 4
/
ATOMIC_SPECIES
Be 9.01 Be.upf
Ga 69.72 Ga.upf
Si 28.09 Si.upf
W 183.84 W.upf
CELL_PARAMETERS angstrom
4.6910 0.0000 0.0000
0.0000 4.6910 0.0000
0.0000 0.0000 4.8958
ATOMIC_POSITIONS crystal
Be 0.0000 0.0000 0.0000
Ga 0.5000 0.5000 0.0000
Si 0.0000 0.5000 0.5000
Si 0.5000 0.0000 0.5000
W 0.5000 0.5000 0.5000